1.
# Zr3TaAg

An optimized crystal structure of Zr3TaAg (GGA-PBEsol, Alexandria via LeMat-Bulk).

a = 4.9797 Å, b = 4.9797 Å, c = 4.9797 Å
α = 90.00°, β = 90.00°, γ = 90.00°
Space group Pm-3m (No. 221)
One atom of each set of equivalent atoms:
1 Zr 0.0000 0.0000 0.5000 [3 per cell]
2 Ta 0.5000 0.5000 0.5000 [1 per cell]
3 Ag 0.0000 0.0000 0.0000 [1 per cell]

Properties
D(E_F)   9.89 states/eV/f.u.
Raw total energy   -7.30 eV per atom

---

2.
# La2AsRu

An optimized crystal structure of La2AsRu (GGA-PBEsol, Alexandria via LeMat-Bulk).

a = 4.4204 Å, b = 4.4204 Å, c = 16.2233 Å
α = 90.00°, β = 90.00°, γ = 120.00°
Space group R3m (No. 160, hexagonal axes)
One atom of each set of equivalent atoms:
1 La 0.0000 0.0000 0.0000 [3 per cell]
2 La 0.0000 0.0000 0.2074 [3 per cell]
3 As 0.0000 0.0000 0.4274 [3 per cell]
4 Ru 0.0000 0.0000 0.7827 [3 per cell]

Properties
D(E_F)   3.02 states/eV/f.u.
Raw total energy   -7.13 eV per atom

---

3.
# Ca3AsRh

An optimized crystal structure of Ca3AsRh (GGA-PBEsol, Alexandria via LeMat-Bulk).

a = 5.3630 Å, b = 5.3630 Å, c = 5.3630 Å
α = 90.00°, β = 90.00°, γ = 90.00°
Space group Pm-3m (No. 221)
One atom of each set of equivalent atoms:
1 Ca 0.0000 0.0000 0.5000 [3 per cell]
2 As 0.0000 0.0000 0.0000 [1 per cell]
3 Rh 0.5000 0.5000 0.5000 [1 per cell]

Properties
D(E_F)   5.91 states/eV/f.u.
Raw total energy   -3.98 eV per atom

---

4.
# In3BiIr

An optimized crystal structure of In3BiIr (GGA-PBEsol, Alexandria via LeMat-Bulk).

a = 5.5970 Å, b = 5.5970 Å, c = 5.5970 Å
α = 90.00°, β = 90.00°, γ = 90.00°
Space group Pm-3m (No. 221)
One atom of each set of equivalent atoms:
1 In 0.0000 0.0000 0.5000 [3 per cell]
2 Bi 0.0000 0.0000 0.0000 [1 per cell]
3 Ir 0.5000 0.5000 0.5000 [1 per cell]

Properties
D(E_F)   8.57 states/eV/f.u.
Raw total energy   -2.98 eV per atom

---

> Number 2 is which compound?

La2AsRu